The following is a DFT calculation (GGA-PBEsol) of a relaxed structure of Ho6MnTe2.

Unit cell a=3.9707 b=8.1215 c=8.1215 alpha=120.00 beta=90.00 gamma=90.00
With the nearest neighbours (Å) after each atom.
Sites, in units of the cell vectors:
Ho 0.0000 0.2367 0.0000  2 Mn 2.76
Ho 0.0000 0.0000 0.2367  2 Mn 2.76
Te 0.0000 0.3333 0.6667  9 Ho 3.17-3.19
Te 0.0000 0.6667 0.3333  9 Ho 3.17-3.19
Ho 0.5000 0.6057 0.0000  4 Te 3.19, 1 Mn 3.20, 4 Ho 3.43
Ho 0.5000 0.0000 0.6057  4 Te 3.19, 1 Mn 3.20, 4 Ho 3.43
Ho 0.5000 0.3943 0.3943  4 Te 3.19, 1 Mn 3.20, 4 Ho 3.43
Mn 0.5000 0.0000 0.0000  6 Ho 2.76
Ho 0.0000 0.7633 0.7633  2 Mn 2.76

Its total energy is -52.0 eV per formula unit. As for the space-group type: P-62m (189).